NaPu2N3 | PBE | optimized geometry

POSCAR file:
```
NaPu2N3
1.0
3.470 0.000 0.000
0.000 5.813 -1.443
0.000 -0.269 9.009
Na Pu N
2 4 6
Direct
0.250 0.531 0.840
0.750 0.469 0.160
0.250 0.745 0.488
0.750 0.255 0.512
0.750 0.019 0.838
0.250 0.981 0.162
0.750 0.655 0.629
0.250 0.345 0.371
0.750 0.880 0.361
0.250 0.120 0.639
0.250 0.182 0.988
0.750 0.818 0.012
```

spin magnetization	0.081	μB per atom
raw total energy	-10.0382	eV per atom

=====

Na2PuReN4 | PBE | optimized geometry

POSCAR file:
```
Na2PuReN4
1.0
5.315 0.000 0.000
0.000 6.840 0.000
0.000 0.000 7.211
Na Pu Re N
4 2 2 8
Direct
0.466 0.349 0.253
0.466 0.349 0.747
0.966 0.651 0.753
0.966 0.651 0.247
0.970 0.148 0.500
0.470 0.852 0.000
0.505 0.831 0.500
0.005 0.169 0.000
0.347 0.158 0.000
0.847 0.842 0.500
0.406 0.092 0.500
0.906 0.908 0.000
0.420 0.703 0.718
0.920 0.297 0.218
0.920 0.297 0.782
0.420 0.703 0.282
```

spin magnetization	0.625	μB per atom
raw total energy	-8.3242	eV per atom

=====

NaPuRe2N6 | PBE | optimized geometry

POSCAR file:
```
NaPuRe2N6
1.0
-3.502 4.708 -1.416
-3.974 -2.614 -5.456
-5.986 -1.309 3.854
Na Pu Re N
2 2 4 12
Direct
0.250 0.927 0.073
0.750 0.073 0.927
0.250 0.311 0.689
0.750 0.689 0.311
0.248 0.798 0.607
0.252 0.393 0.202
0.752 0.202 0.393
0.748 0.607 0.798
0.172 0.002 0.741
0.328 0.259 0.998
0.828 0.998 0.259
0.672 0.741 0.002
0.374 0.865 0.371
0.126 0.629 0.135
0.626 0.135 0.629
0.874 0.371 0.865
0.993 0.677 0.609
0.507 0.391 0.323
0.007 0.323 0.391
0.493 0.609 0.677
```

spin magnetization	0.502	μB per atom
raw total energy	-9.3378	eV per atom

=====

For each record above, in turn, the calculated V values are 90.2 131.1 150.5 Å³/f.u..